In5Ga12Sb3: optimized geometry, PBE.

Computed properties:
**Formation energy (no corrections)**: 16.9 kJ/mol of atoms
**DFT total energy**: -2.94 eV/atom

Cell and atoms, written as POSCAR:
```
In5Ga12Sb3
1.0
-8.233 8.233 8.233
8.233 -8.233 8.233
8.233 8.233 -8.233
In Ga Sb
20 48 12
Cartesian
0.000 0.000 0.000 In
4.117 4.117 -4.117 In
4.117 -4.117 4.117 In
8.233 0.000 0.000 In
12.350 2.058 0.000 In
8.233 -4.117 6.175 In
6.175 8.233 -4.117 In
6.175 0.000 4.117 In
4.117 6.175 0.000 In
8.233 4.117 2.058 In
-4.117 4.117 4.117 In
0.000 8.233 0.000 In
0.000 0.000 8.233 In
4.117 4.117 4.117 In
0.000 4.117 6.175 In
4.117 2.058 8.233 In
2.058 8.233 4.117 In
2.058 0.000 12.350 In
0.000 12.350 2.058 In
-4.117 6.175 8.233 In
2.515 -0.167 1.255 Ga
9.835 5.372 -4.284 Ga
8.066 -1.255 2.515 Ga
12.517 -1.602 2.861 Ga
10.748 0.167 1.255 Ga
9.835 -2.861 4.284 Ga
1.255 2.515 -0.167 Ga
11.094 3.949 -1.602 Ga
5.372 4.284 -1.602 Ga
6.978 2.515 0.167 Ga
-0.167 1.255 2.515 Ga
4.284 -1.602 5.372 Ga
8.066 6.978 -2.515 Ga
4.284 1.602 2.861 Ga
6.978 -2.515 8.066 Ga
5.372 -4.284 9.835 Ga
2.861 4.284 1.602 Ga
9.488 5.718 0.167 Ga
2.515 8.066 -1.255 Ga
9.835 2.861 3.949 Ga
4.284 9.835 -2.861 Ga
8.066 1.255 5.718 Ga
1.602 2.861 4.284 Ga
2.515 0.167 6.978 Ga
5.718 8.066 1.255 Ga
6.632 5.372 3.949 Ga
0.167 6.978 2.515 Ga
3.949 -1.602 11.094 Ga
-1.602 5.372 4.284 Ga
5.718 0.167 9.488 Ga
-1.255 2.515 8.066 Ga
5.372 3.949 6.632 Ga
2.861 12.517 -1.602 Ga
1.255 10.748 0.167 Ga
3.949 6.632 5.372 Ga
0.167 1.255 10.748 Ga
3.949 9.835 2.861 Ga
8.401 6.978 5.718 Ga
1.255 5.718 8.066 Ga
2.861 3.949 9.835 Ga
-2.861 4.284 9.835 Ga
6.978 5.718 8.401 Ga
-1.602 11.094 3.949 Ga
-2.515 8.066 6.978 Ga
-4.284 9.835 5.372 Ga
0.167 9.488 5.718 Ga
-1.602 2.861 12.517 Ga
5.718 8.401 6.978 Ga
4.117 2.058 0.000 Sb
8.233 4.117 -2.058 Sb
2.058 0.000 4.117 Sb
10.291 0.000 4.117 Sb
0.000 4.117 2.058 Sb
4.117 -2.058 8.233 Sb
4.117 10.291 0.000 Sb
8.233 4.117 6.175 Sb
-2.058 8.233 4.117 Sb
6.175 8.233 4.117 Sb
0.000 4.117 10.291 Sb
4.117 6.175 8.233 Sb
```

NaAcCd6: optimized geometry, PBE.

Computed properties:
**DFT total energy**: -1.54 eV/atom

Cell and atoms, written as POSCAR:
```
NaAcCd6
1.0
5.121 0.000 0.000
0.000 7.341 0.000
0.000 0.000 5.520
Na Ac Cd
1 1 6
Cartesian
0.000 0.000 0.000 Na
2.560 3.671 3.636 Ac
0.000 1.570 2.825 Cd
0.000 3.671 0.578 Cd
0.000 5.772 2.825 Cd
2.560 0.000 3.595 Cd
2.560 1.634 0.864 Cd
2.560 5.707 0.864 Cd
```

PaTaGe2: optimized geometry, PBE.

Computed properties:
**DFT total energy**: -7.87 eV/atom
**Energy relative to the lowest polymorph listed for this composition**: 0.000 eV per formula unit

Cell and atoms, written as POSCAR:
```
PaTaGe2
1.0
3.506 0.000 0.000
0.000 3.506 0.000
0.000 0.000 6.257
Pa Ta Ge
1 1 2
Cartesian
0.000 0.000 0.000 Pa
0.000 0.000 3.128 Ta
1.753 1.753 1.801 Ge
1.753 1.753 4.455 Ge
```